--- P ---
{
  "formula": "LiTaSb2",
  "functional": "SCAN",
  "state": "single point on PBEsol structure",
  "lattice_angstrom": [[3.806, 0.000, 0.000], [0.000, 3.806, 0.000], [0.000, 0.000, 5.562]],
  "species": ["Li", "Ta", "Sb", "Sb"],
  "frac_coords": [[0.000, 0.000, 0.000], [0.500, 0.500, 0.695], [0.000, 0.000, 0.519], [0.500, 0.500, 0.169]],
  "dos_ef_per_ev_cell": 1.7
}

--- Q ---
{
  "formula": "LiTaSb2",
  "functional": "SCAN",
  "state": "single point on PBEsol structure",
  "lattice_angstrom": [[2.975, 0.000, 0.000], [0.000, 2.975, 0.000], [0.000, 0.000, 9.964]],
  "species": ["Li", "Ta", "Sb", "Sb"],
  "frac_coords": [[0.000, 0.000, 0.000], [0.500, 0.500, 0.778], [0.000, 0.000, 0.563], [0.500, 0.500, 0.205]],
  "dos_ef_per_ev_cell": 1.9
}

Winner for stability: P

--- P ---
{
  "formula": "LiTlSb2",
  "functional": "SCAN",
  "state": "single point on PBEsol structure",
  "lattice_angstrom": [[4.522, 0.000, 0.000], [0.000, 4.522, 0.000], [0.000, 0.000, 4.922]],
  "species": ["Li", "Tl", "Sb", "Sb"],
  "frac_coords": [[0.000, 0.000, 0.000], [0.500, 0.500, 0.000], [0.000, 0.500, 0.500], [0.500, 0.000, 0.500]],
  "dos_ef_per_ev_cell": 1.4
}

--- Q ---
{
  "formula": "LiTlSb2",
  "functional": "SCAN",
  "state": "single point on PBEsol structure",
  "lattice_angstrom": [[3.203, 0.000, 0.000], [0.000, 4.409, 0.000], [0.000, 0.000, 7.237]],
  "species": ["Li", "Tl", "Sb", "Sb"],
  "frac_coords": [[0.000, 0.000, 0.000], [0.000, 0.000, 0.500], [0.500, 0.500, 0.201], [0.500, 0.500, 0.799]],
  "dos_ef_per_ev_cell": 1.0
}

--- R ---
{
  "formula": "LiTlSb2",
  "functional": "SCAN",
  "state": "single point on PBEsol structure",
  "lattice_angstrom": [[3.330, 0.000, 0.000], [0.000, 5.553, 0.000], [0.000, 0.000, 5.543]],
  "species": ["Li", "Tl", "Sb", "Sb"],
  "frac_coords": [[0.000, 0.000, 0.000], [0.000, 0.500, 0.699], [0.500, 0.000, 0.469], [0.500, 0.500, 0.202]],
  "dos_ef_per_ev_cell": 1.6
}

--- S ---
{
  "formula": "LiTlSb2",
  "functional": "SCAN",
  "state": "single point on PBEsol structure",
  "lattice_angstrom": [[9.518, 0.000, 0.000], [0.000, 3.985, 0.000], [-1.546, 0.000, 5.646]],
  "species": ["Li", "Li", "Tl", "Tl", "Sb", "Sb", "Sb", "Sb"],
  "frac_coords": [[0.000, 0.000, 0.000], [0.500, 0.500, 0.000], [0.000, 0.500, 0.500], [0.500, 0.000, 0.500], [0.246, 0.500, 0.182], [0.254, 0.000, 0.818], [0.746, 0.000, 0.182], [0.754, 0.500, 0.818]],
  "dos_ef_per_ev_cell": 2.0
}

Winner for stability: Q